# LaYIO6 GGA-PBE optimized geometry
# Raw formation energy, eV/atom: -2.056
# DOS at the Fermi energy, states/eV/atom: 0.51
data_LaYIO6
_chemical_formula_sum 'La2 Y2 I2 O12'
_space_group_name_H-M_alt 'P -3 1 c'
_space_group_IT_number 163
_space_group_name_Hall '-P 3 2c'
_cell_length_a 5.6853
_cell_length_b 5.6853
_cell_length_c 10.0838
_cell_angle_alpha 90.00
_cell_angle_beta 90.00
_cell_angle_gamma 120.00
loop_
_atom_site_label
_atom_site_fract_x
_atom_site_fract_y
_atom_site_fract_z
_atom_site_occupancy
La1 0.0000 0.0000 0.0000 1
Y1 0.3333 0.6667 0.2500 1
I1 0.3333 0.6667 0.7500 1
O1 0.0352 0.3736 0.6388 1